(1)
Here is a geometry-optimized NdLuPb2 structure from Alexandria via LeMat-Bulk. Energies are from PBE-GGA.

extended XYZ file:
```
4
Lattice="-2.507 2.795 -0.090 -2.454 0.413 2.812 4.723 6.940 5.610" Properties=species:S:1:pos:R:3 pbc="T T T"
Lu 0.000 0.000 0.000
Pb -0.108 7.675 6.301
Nd -0.119 5.074 4.166
Pb -0.129 2.473 2.032
```

Computed properties:
DOS at the Fermi energy   2.72 states/eV/cell
Calculated density   10.114 Mg/m³
SG   R-3m

(2)
Here is a geometry-optimized Ac2DyGa3Au4 structure from Alexandria via LeMat-Bulk. Energies are from PBE-GGA.

extended XYZ file:
```
10
Lattice="4.547 0.000 0.000 0.000 4.547 0.000 0.000 0.000 11.580" Properties=species:S:1:pos:R:3 pbc="T T T"
Au 0.000 2.273 4.000
Ga 0.000 2.273 1.400
Au 2.273 2.273 0.000
Ac 0.000 2.273 8.979
Au 0.000 0.000 0.000
Ac 2.273 0.000 2.601
Ga 0.000 0.000 5.790
Dy 2.273 2.273 5.790
Ga 2.273 0.000 10.180
Au 2.273 0.000 7.580
```

Computed properties:
DOS at the Fermi energy   6.62 states/eV/cell
Calculated density   11.192 Mg/m³
SG   P-4m2

(3)
Here is a geometry-optimized Pa2Ge3Pd2 structure from Alexandria via LeMat-Bulk. Energies are from PBE-GGA.

extended XYZ file:
```
7
Lattice="5.009 0.000 0.000 0.000 3.199 0.000 -2.505 -1.600 9.019" Properties=species:S:1:pos:R:3 pbc="T T T"
Pd 2.505 1.600 1.308
Pd 0.000 0.000 7.711
Ge 0.000 1.600 5.702
Pa 0.000 1.600 2.758
Ge 0.000 0.000 0.000
Ge 2.505 0.000 3.317
Pa 2.505 0.000 6.260
```

Computed properties:
DOS at the Fermi energy   6.86 states/eV/cell
Excess energy over the best structure of this formula in the dataset   2.13 eV/f.u.
Calculated density   10.257 Mg/m³
SG   Immm

(4)
Here is a geometry-optimized Sm8DyMg2 structure from Alexandria via LeMat-Bulk. Energies are from PBE-GGA.

extended XYZ file:
```
11
Lattice="-1.668 -0.177 5.524 -1.592 -8.430 -2.886 8.432 3.252 0.515" Properties=species:S:1:pos:R:3 pbc="T T T"
Sm 3.546 -3.109 0.228
Sm 1.625 -2.246 2.925
Dy -0.834 -0.088 2.762
Mg 5.355 -0.334 -0.529
Sm 0.076 -2.433 -0.120
Sm 5.095 -2.922 3.274
Mg 1.485 -4.844 -1.842
Sm 2.831 -5.561 2.506
Sm -0.315 -6.058 0.593
Sm 5.486 0.703 2.561
Sm 2.340 0.206 0.648
```

Computed properties:
DOS at the Fermi energy   13.16 states/eV/cell
Excess energy over the best structure of this formula in the dataset   1.20 eV/f.u.
Calculated density   6.526 Mg/m³
SG   C2/m

(5)
Here is a geometry-optimized Ba2NaAl structure from Alexandria via LeMat-Bulk. Energies are from PBE-GGA.

extended XYZ file:
```
4
Lattice="-3.111 -2.586 -1.137 1.821 -3.129 2.134 -5.014 2.525 7.981" Properties=species:S:1:pos:R:3 pbc="T T T"
Ba -4.006 2.017 6.375
Al -0.645 -2.857 0.499
Na -3.153 -1.595 4.489
Ba -1.009 0.508 1.606
```

Computed properties:
DOS at the Fermi energy   3.27 states/eV/cell
Calculated density   3.128 Mg/m³
SG   P4/mmm

(6)
Here is a geometry-optimized SrCaScV2 structure from Alexandria via LeMat-Bulk. Energies are from PBE-GGA.

extended XYZ file:
```
5
Lattice="-3.842 3.194 -0.464 -0.666 0.025 5.686 3.174 3.870 0.355" Properties=species:S:1:pos:R:3 pbc="T T T"
Sr -0.333 0.013 2.843
Ca -0.667 3.544 2.788
V -1.921 1.597 -0.232
V 1.587 1.935 0.177
Sc 0.000 0.000 0.000
```

Computed properties:
DOS at the Fermi energy   4.99 states/eV/cell
Calculated density   3.163 Mg/m³
SG   P4/mmm

(7)
Here is a geometry-optimized Ce2TmIr structure from Alexandria via LeMat-Bulk. Energies are from PBE-GGA.

extended XYZ file:
```
4
Lattice="-1.145 2.535 2.492 -2.656 -2.350 1.171 4.596 -2.749 4.909" Properties=species:S:1:pos:R:3 pbc="T T T"
Ir -1.900 0.093 1.831
Ce 0.899 -0.537 0.960
Tm 0.397 -1.282 4.286
Ce 3.697 -2.211 3.949
```

Computed properties:
DOS at the Fermi energy   8.81 states/eV/cell
Excess energy over the best structure of this formula in the dataset   0.00 eV/f.u.
Calculated density   10.512 Mg/m³
SG   P4/mmm

(8)
Here is a geometry-optimized Al2TlCr structure from Alexandria via LeMat-Bulk. Energies are from PBE-GGA.

extended XYZ file:
```
4
Lattice="-4.402 -2.177 -0.002 -2.441 -3.792 -1.944 0.746 -3.444 3.617" Properties=species:S:1:pos:R:3 pbc="T T T"
Al 0.666 -3.395 3.496
Al -4.614 -7.036 1.192
Tl -1.503 -2.339 0.426
Cr -2.947 -4.795 1.011
```

Computed properties:
DOS at the Fermi energy   2.25 states/eV/cell
Excess energy over the best structure of this formula in the dataset   0.73 eV/f.u.
Calculated density   6.987 Mg/m³
SG   Cm

(9)
Here is a geometry-optimized UTl3Sb3Te8 structure from Alexandria via LeMat-Bulk. Energies are from PBE-GGA.

extended XYZ file:
```
15
Lattice="8.915 0.000 0.000 -4.457 7.722 -0.033 0.000 -5.116 8.052" Properties=species:S:1:pos:R:3 pbc="T T T"
Tl 0.000 0.000 0.000
Tl 2.229 3.861 -0.016
Tl -2.229 3.861 -0.016
Te 2.216 -1.286 2.298
Te 0.000 2.582 2.264
U 0.000 -2.558 4.026
Te 2.242 3.892 5.721
Te 4.457 2.596 2.282
Te 4.457 0.024 5.755
Sb -2.229 1.303 4.010
Te -2.242 3.892 5.721
Te 6.699 -1.286 2.298
Sb 4.457 -2.558 4.026
Sb 2.229 1.303 4.010
Te 0.000 0.010 5.737
```

Computed properties:
DOS at the Fermi energy   9.92 states/eV/cell
ΔE_f (raw)   -296 meV per atom
Calculated density   6.720 Mg/m³
SG   R-3m

(10)
Here is a geometry-optimized Tl2TcRhPb structure from Alexandria via LeMat-Bulk. Energies are from PBE-GGA.

extended XYZ file:
```
5
Lattice="5.206 0.000 0.000 0.000 4.985 0.000 0.000 0.000 5.206" Properties=species:S:1:pos:R:3 pbc="T T T"
Tc 0.000 2.493 0.000
Rh 0.000 0.000 0.000
Pb 2.603 2.493 2.603
Tl 2.603 0.000 0.000
Tl 0.000 0.000 2.603
```

Computed properties:
DOS at the Fermi energy   5.46 states/eV/cell
Calculated density   10.041 Mg/m³
SG   P4/mmm

| no. | total energy (eV/atom) |
| --- | --- |
| 1 | -4.50 |
| 2 | -4.20 |
| 3 | -6.46 |
| 4 | -4.02 |
| 5 | -2.30 |
| 6 | -4.47 |
| 7 | -6.59 |
| 8 | -4.52 |
| 9 | -4.02 |
| 10 | -4.46 |